[1]
Material: Cs2K3Rb4
Method: DFT, PBE
State: optimized geometry

Properties
Total DFT energy (no corrections): -17.47 eV/cell

Geometry as CIF:
```
data_Cs2K3Rb4
_chemical_formula_sum 'Cs4 K6 Rb8'
_cell_length_a 13.6801
_cell_length_b 10.9887
_cell_length_c 10.9887
_cell_angle_alpha 97.44
_cell_angle_beta 83.09
_cell_angle_gamma 83.09
_symmetry_space_group_name_H-M 'P 1'
_symmetry_Int_Tables_number 1
loop_
_symmetry_equiv_pos_as_xyz
'x,y,z'
loop_
_atom_site_label
_atom_site_type_symbol
_atom_site_fract_x
_atom_site_fract_y
_atom_site_fract_z
Cs1 Cs 0.0790 0.4929 0.7355
Cs2 Cs 0.5790 0.7355 0.4929
Cs3 Cs 0.4210 0.2645 0.5071
Cs4 Cs 0.9210 0.5071 0.2645
Rb1 Rb 0.0878 0.1384 0.4039
Rb2 Rb 0.5796 0.0738 0.8288
Rb3 Rb 0.4204 0.9262 0.1712
Rb4 Rb 0.4122 0.5961 0.8616
Rb5 Rb 0.9204 0.1712 0.9262
Rb6 Rb 0.5878 0.4039 0.1384
Rb7 Rb 0.9122 0.8616 0.5961
Rb8 Rb 0.0796 0.8288 0.0738
K1 K 0.2539 0.2835 0.0474
K2 K 0.7500 0.3643 0.6357
K3 K 0.7539 0.0474 0.2835
K4 K 0.2461 0.9526 0.7165
K5 K 0.2500 0.6357 0.3643
K6 K 0.7461 0.7165 0.9526
```

---

[2]
Material: La2PrTm5
Method: DFT, PBE
State: optimized geometry

Properties
Offset from the most stable computed form: 0 meV per atom

Geometry as CIF:
```
data_La2PrTm5
_chemical_formula_sum 'La2 Pr1 Tm5'
_cell_length_a 7.2484
_cell_length_b 7.2480
_cell_length_c 6.8133
_cell_angle_alpha 105.71
_cell_angle_beta 105.71
_cell_angle_gamma 119.40
_symmetry_space_group_name_H-M 'P 1'
_symmetry_Int_Tables_number 1
loop_
_symmetry_equiv_pos_as_xyz
'x,y,z'
loop_
_atom_site_label
_atom_site_type_symbol
_atom_site_fract_x
_atom_site_fract_y
_atom_site_fract_z
Tm1 Tm 0.3187 0.7348 0.0002
Tm2 Tm 0.3169 0.2386 0.9999
Tm3 Tm 0.2358 0.3199 0.4998
Tm4 Tm 0.7357 0.8198 0.4999
Tm5 Tm 0.8211 0.2371 0.0002
La1 La 0.2428 0.8217 0.5086
La2 La 0.7346 0.3132 0.4918
Pr1 Pr 0.8173 0.7378 0.9997
```

---

[3]
Material: ZrBeZn4
Method: DFT, PBE
State: optimized geometry

Properties
Total DFT energy (no corrections): -16.42 eV/cell

Geometry as CIF:
```
data_ZrBeZn4
_chemical_formula_sum 'Zr1 Be1 Zn4'
_cell_length_a 5.0920
_cell_length_b 5.0920
_cell_length_c 5.0920
_cell_angle_alpha 60.00
_cell_angle_beta 60.00
_cell_angle_gamma 60.00
_symmetry_space_group_name_H-M 'P 1'
_symmetry_Int_Tables_number 1
loop_
_symmetry_equiv_pos_as_xyz
'x,y,z'
loop_
_atom_site_label
_atom_site_type_symbol
_atom_site_fract_x
_atom_site_fract_y
_atom_site_fract_z
Zn1 Zn 0.3753 0.8740 0.3753
Zn2 Zn 0.8740 0.3753 0.3753
Zn3 Zn 0.3753 0.3753 0.3753
Zn4 Zn 0.3753 0.3753 0.8740
Zr1 Zr 0.7500 0.7500 0.7500
Be1 Be 0.0000 0.0000 0.0000
```

---

[4]
Material: CaLa4Ce3P8
Method: DFT, PBE
State: optimized geometry

Properties
Total DFT energy (no corrections): -106.49 eV/cell

Geometry as CIF:
```
data_CaLa4Ce3P8
_chemical_formula_sum 'Ca1 La4 Ce3 P8'
_cell_length_a 8.3768
_cell_length_b 8.3803
_cell_length_c 8.3767
_cell_angle_alpha 119.98
_cell_angle_beta 120.00
_cell_angle_gamma 90.00
_symmetry_space_group_name_H-M 'P 1'
_symmetry_Int_Tables_number 1
loop_
_symmetry_equiv_pos_as_xyz
'x,y,z'
loop_
_atom_site_label
_atom_site_type_symbol
_atom_site_fract_x
_atom_site_fract_y
_atom_site_fract_z
La1 La 0.5000 0.0000 0.5000
La2 La 0.0000 0.0000 0.5000
La3 La 0.5000 0.0000 0.0000
La4 La 0.0000 0.0000 0.0000
P1 P 0.7504 0.2607 0.0103
P2 P 0.2599 0.2607 0.0103
P3 P 0.2496 0.7393 0.4993
P4 P 0.2496 0.7393 0.9897
P5 P 0.7504 0.2607 0.5007
P6 P 0.7459 0.7376 0.4918
P7 P 0.7401 0.7393 0.9897
P8 P 0.2541 0.2624 0.5082
Ca1 Ca 0.0000 0.5000 0.0000
Ce1 Ce 0.0000 0.5000 0.5000
Ce2 Ce 0.5000 0.5000 0.5000
Ce3 Ce 0.5000 0.5000 0.0000
```

---

| no. | magnetization (Bohr magnetons per cell) |
| --- | --- |
| 1 | 0.0 |
| 2 | 0.0 |
| 3 | 0.0 |
| 4 | 1.4 |